A relaxed structure of Ca2InRh, computed with PBE.

POSCAR file:
```
Ca2InRh
1.0
3.502 0.000 0.000
0.000 3.502 0.000
0.000 0.000 8.500
Ca Rh In
2 1 1
Cartesian
0.000 0.000 7.849
1.751 1.751 2.600
1.751 1.751 6.070
0.000 0.000 4.730
```

Its space group is P4mm, No. 99. As for the formation energy: -338 meV/atom.


A relaxed structure of Tl3RePt, computed with PBE.

POSCAR file:
```
Tl3RePt
1.0
5.276 0.000 0.000
0.000 5.276 0.000
0.000 0.000 5.276
Re Tl Pt
1 3 1
Cartesian
0.000 0.000 0.000
0.000 2.638 0.000
0.000 0.000 2.638
2.638 0.000 0.000
2.638 2.638 2.638
```

Its space group is Pm-3m, No. 221. The energy above the most stable polymorph in this dataset comes out at 0 kJ/mol of formula units. As for the formation energy: 1174 meV/atom.


A relaxed structure of Ca2TmPd9, computed with PBE.

POSCAR file:
```
Ca2TmPd9
1.0
4.122 0.000 0.000
0.000 4.122 0.000
0.000 0.000 12.330
Ca Tm Pd
2 1 9
Cartesian
0.000 0.000 4.095
0.000 0.000 8.235
0.000 0.000 0.000
2.061 2.061 0.000
2.061 2.061 4.094
2.061 2.061 8.236
2.061 0.000 1.997
2.061 0.000 6.165
2.061 0.000 10.333
0.000 2.061 1.997
0.000 2.061 6.165
0.000 2.061 10.333
```

Its space group is P4/mmm, No. 123. As for the formation energy: -639 meV/atom.